(1)
DFT (GGA-PBE) results for a relaxed Tb2ZnIn crystal.

Cell: 3.6476 3.6476 7.4724 Å, 90.00 90.00 90.00°
With the nearest neighbours (Å) after each atom.
Fractional positions:
Tb  0.0000  0.0000  0.2306  4 Zn 3.10, 4 In 3.27, 1 Tb 3.45
Tb  0.0000  0.0000  0.7694  4 Zn 3.10, 4 In 3.27, 1 Tb 3.45
Zn  0.5000  0.5000  0.0000  8 Tb 3.10
In  0.5000  0.5000  0.5000  8 Tb 3.27, 4 In 3.65

Output
Symmetry ... P4/mmm

=====

(2)
DFT (GGA-PBE) results for a relaxed Tb3ZnIn2 crystal.

Cell: 3.6433 3.6433 11.5278 Å, 90.00 90.00 90.00°
With the nearest neighbours (Å) after each atom.
Fractional positions:
Tb  0.0000  0.0000  0.0000  8 In 3.28, 4 Tb 3.64
Tb  0.0000  0.0000  0.3502  4 Zn 3.10, 4 In 3.26, 1 Tb 3.45
Tb  0.0000  0.0000  0.6498  4 Zn 3.10, 4 In 3.26, 1 Tb 3.45
Zn  0.5000  0.5000  0.5000  8 Tb 3.10
In  0.5000  0.5000  0.1768  8 Tb 3.26-3.28, 4 In 3.64
In  0.5000  0.5000  0.8232  8 Tb 3.26-3.28, 4 In 3.64

Output
Symmetry ... P4/mmm

=====

(3)
DFT (GGA-PBE) results for a relaxed TbZrIn crystal.

Cell: 7.0544 7.0544 7.0544 Å, 90.00 90.00 90.00°
With the nearest neighbours (Å) after each atom.
Fractional positions:
Tb  0.0000  0.0000  0.0000  4 In 3.05
Tb  0.0000  0.5000  0.5000  4 In 3.05
Tb  0.5000  0.0000  0.5000  4 In 3.05
Tb  0.5000  0.5000  0.0000  4 In 3.05
Zr  0.0000  0.0000  0.5000  4 In 3.05
Zr  0.0000  0.5000  0.0000  4 In 3.05
Zr  0.5000  0.0000  0.0000  4 In 3.05
Zr  0.5000  0.5000  0.5000  4 In 3.05
In  0.2500  0.2500  0.2500  4 Zr 3.05, 4 Tb 3.05
In  0.2500  0.7500  0.7500  4 Zr 3.05, 4 Tb 3.05
In  0.7500  0.2500  0.7500  4 Zr 3.05, 4 Tb 3.05
In  0.7500  0.7500  0.2500  4 Zr 3.05, 4 Tb 3.05

Output
Symmetry ... F-43m

=====

no.,total DFT energy (no corrections) (eV per atom),total moment (μB per atom)
1,-3.7382,0.0060
2,-3.8830,0.0009
3,-5.1477,0.1736